Entry 1:
PBE-GGA LiIrN2F, optimized geometry; formation energy (no corrections) = 613 kJ/mol of formula units; total magnetic moment = 0.3 μB per formula unit; density = 8.82 g/cm³
1.0
3.844 0.000 0.000
0.000 3.844 0.000
0.000 0.000 3.138
Li Ir N F
1 1 2 1
direct
0.000 0.000 0.000 Li
0.500 0.500 0.500 Ir
0.000 0.500 0.000 N
0.500 0.000 0.000 N
0.000 0.000 0.500 F


Entry 2:
PBE-GGA LiIrN2F, optimized geometry; formation energy (no corrections) = -21 kJ/mol of formula units; total magnetic moment = 0.4 μB per formula unit; density = 5.94 g/cm³
1.0
3.743 0.000 0.000
0.000 3.743 0.000
0.000 0.000 4.913
Li Ir N F
1 1 2 1
direct
0.000 0.000 0.000 Li
0.500 0.500 0.500 Ir
0.000 0.500 0.500 N
0.500 0.000 0.500 N
0.500 0.500 0.000 F


Entry 3:
PBE-GGA Na2LiIrF6, optimized geometry; formation energy (no corrections) = -2171 kJ/mol of formula units; total magnetic moment = 0.2 μB per formula unit; density = 4.88 g/cm³
1.0
5.502 0.000 0.000
2.613 4.842 0.000
2.614 1.562 4.590
Na Li Ir F
2 1 1 6
direct
0.243 0.242 0.241 Na
0.757 0.758 0.759 Na
0.000 0.000 0.000 Li
0.500 0.500 0.500 Ir
0.156 0.346 0.757 F
0.246 0.844 0.654 F
0.345 0.756 0.157 F
0.655 0.244 0.843 F
0.754 0.156 0.346 F
0.844 0.654 0.243 F


Entry 4:
PBE-GGA NaLi2IrF8, optimized geometry; formation energy (no corrections) = -2301 kJ/mol of formula units; total magnetic moment = 2.0 μB per formula unit; density = 4.15 g/cm³
1.0
-3.397 3.397 3.307
3.397 -3.397 3.307
3.397 3.397 -3.307
Na Li Ir F
1 2 1 8
direct
0.000 0.000 0.000 Na
0.250 0.750 0.500 Li
0.500 0.500 0.000 Li
0.750 0.250 0.500 Ir
0.027 0.357 0.331 F
0.027 0.696 0.669 F
0.097 0.309 0.787 F
0.304 0.973 0.331 F
0.522 0.309 0.213 F
0.643 0.973 0.669 F
0.691 0.478 0.787 F
0.691 0.903 0.213 F